A relaxed structure of NpPaSi2. Source: Alexandria, functional GGA-PBE.

The structure belongs to space group Cmcm (No. 63); the cell edges are 6.963, 8.400 and 5.622 Å and the angles 90.00°, 90.00° and 90.00°. Symmetry generates all atoms from Np at (0.000, 0.000, 0.000), Pa at (0.000, 0.368, 0.250) and Si at (0.168, 0.322, 0.750).

The relative energy among the computed polymorphs comes out at 35 meV/atom. As for the magnetic moment: 4.02 μB per formula unit. As for the density of states at the Fermi level: 1.72 states/eV/atom. The formation energy without anion corrections is -0.258 eV/atom.